KSrDyWO6 PBE+U relaxed; VASP energy = -7.101 eV/atom; density = 6.4 g/cm3
1.0
-2.450 -2.363 4.851
-2.326 3.521 4.160
-5.874 0.213 0.757
Dy O Sr K W
1 6 1 1 1
direct
0.000 0.000 0.000 Dy
0.733 0.267 0.733 O
0.267 0.733 0.267 O
0.733 0.267 0.267 O
0.267 0.267 0.733 O
0.733 0.733 0.267 O
0.267 0.733 0.733 O
0.750 0.750 0.750 Sr
0.250 0.250 0.250 K
0.500 0.500 0.500 W